Record 1
{
  "formula": "KHfAu",
  "functional": "GGA-PBE",
  "state": "relaxed",
  "rho_g_cm3": 8.07,
  "polymorph_energy_mev_per_atom": 0,
  "cell": [[0.000, 3.494, 3.494], [3.494, 0.000, 3.494], [3.494, 3.494, 0.000]],
  "species": ["K", "Hf", "Au"],
  "frac_coords": [[0.000, 0.000, 0.000], [0.500, 0.500, 0.500], [0.750, 0.750, 0.750]]
}

---

Record 2
{
  "formula": "KHfAu3O4",
  "functional": "GGA-PBE",
  "state": "relaxed",
  "final_energy_ev_per_cell": -48.689,
  "rho_g_cm3": 7.85,
  "cell": [[5.694, 0.000, 0.000], [0.000, 5.694, 0.000], [0.000, 0.000, 5.694]],
  "species": ["K", "Hf", "Au", "Au", "Au", "O", "O", "O", "O"],
  "frac_coords": [[0.000, 0.000, 0.000], [0.500, 0.500, 0.500], [0.000, 0.500, 0.500], [0.500, 0.000, 0.500], [0.500, 0.500, 0.000], [0.295, 0.295, 0.295], [0.295, 0.705, 0.705], [0.705, 0.295, 0.705], [0.705, 0.705, 0.295]]
}

---

Record 3
{
  "formula": "KHfAuO3",
  "functional": "GGA-PBE",
  "state": "relaxed",
  "final_energy_ev_per_cell": -167.651,
  "rho_g_cm3": 7.82,
  "cell": [[11.928, 0.000, 0.000], [0.000, 3.226, 0.000], [0.000, 0.000, 10.213]],
  "species": ["K", "K", "K", "K", "Hf", "Hf", "Hf", "Hf", "Au", "Au", "Au", "Au", "O", "O", "O", "O", "O", "O", "O", "O", "O", "O", "O", "O"],
  "frac_coords": [[0.248, 0.250, 0.129], [0.252, 0.750, 0.629], [0.748, 0.250, 0.371], [0.752, 0.750, 0.871], [0.035, 0.250, 0.365], [0.465, 0.750, 0.865], [0.535, 0.250, 0.135], [0.965, 0.750, 0.635], [0.035, 0.250, 0.913], [0.465, 0.750, 0.413], [0.535, 0.250, 0.587], [0.965, 0.750, 0.087], [0.074, 0.250, 0.561], [0.083, 0.750, 0.787], [0.129, 0.750, 0.309], [0.371, 0.250, 0.809], [0.417, 0.250, 0.287], [0.426, 0.750, 0.061], [0.574, 0.250, 0.939], [0.583, 0.750, 0.713], [0.629, 0.750, 0.191], [0.871, 0.250, 0.691], [0.917, 0.250, 0.213], [0.926, 0.750, 0.439]]
}

---

Record 4
{
  "formula": "KHfAuS3",
  "functional": "GGA-PBE",
  "state": "relaxed",
  "rho_g_cm3": 6.08,
  "polymorph_energy_mev_per_atom": 32,
  "cell": [[1.901, -7.336, 0.000], [1.901, 7.336, 0.000], [0.000, 0.000, 9.998]],
  "species": ["K", "K", "Hf", "Hf", "Au", "Au", "S", "S", "S", "S", "S", "S"],
  "frac_coords": [[0.237, 0.763, 0.750], [0.763, 0.237, 0.250], [0.500, 0.500, 0.000], [0.500, 0.500, 0.500], [0.070, 0.930, 0.250], [0.930, 0.070, 0.750], [0.120, 0.880, 0.023], [0.120, 0.880, 0.477], [0.442, 0.558, 0.250], [0.558, 0.442, 0.750], [0.880, 0.120, 0.523], [0.880, 0.120, 0.977]]
}

---

Record 5
{
  "formula": "KHfAuS3",
  "functional": "GGA-PBE",
  "state": "relaxed",
  "rho_g_cm3": 5.97,
  "polymorph_energy_mev_per_atom": 176,
  "cell": [[11.947, 0.000, 0.000], [0.000, 3.948, 0.000], [0.000, 0.000, 12.049]],
  "species": ["K", "K", "K", "K", "Hf", "Hf", "Hf", "Hf", "Au", "Au", "Au", "Au", "S", "S", "S", "S", "S", "S", "S", "S", "S", "S", "S", "S"],
  "frac_coords": [[0.160, 0.250, 0.026], [0.340, 0.750, 0.526], [0.660, 0.250, 0.474], [0.840, 0.750, 0.974], [0.041, 0.250, 0.347], [0.459, 0.750, 0.847], [0.541, 0.250, 0.153], [0.959, 0.750, 0.653], [0.211, 0.750, 0.249], [0.289, 0.250, 0.749], [0.711, 0.750, 0.251], [0.789, 0.250, 0.751], [0.016, 0.750, 0.194], [0.076, 0.250, 0.568], [0.250, 0.250, 0.357], [0.250, 0.750, 0.857], [0.424, 0.750, 0.068], [0.484, 0.250, 0.694], [0.516, 0.750, 0.306], [0.576, 0.250, 0.932], [0.750, 0.250, 0.143], [0.750, 0.750, 0.643], [0.924, 0.750, 0.432], [0.984, 0.250, 0.806]]
}

---

Record 6
{
  "formula": "KHfAuS3",
  "functional": "GGA-PBE",
  "state": "relaxed",
  "rho_g_cm3": 6.04,
  "polymorph_energy_mev_per_atom": 0,
  "cell": [[8.043, 0.000, 0.000], [0.000, 3.804, 0.000], [-3.411, 0.000, 9.171]],
  "species": ["K", "K", "Hf", "Hf", "Au", "Au", "S", "S", "S", "S", "S", "S"],
  "frac_coords": [[0.248, 0.250, 0.213], [0.752, 0.750, 0.787], [0.185, 0.750, 0.660], [0.815, 0.250, 0.340], [0.417, 0.250, 0.888], [0.583, 0.750, 0.112], [0.048, 0.750, 0.374], [0.218, 0.750, 0.927], [0.391, 0.250, 0.632], [0.609, 0.750, 0.368], [0.782, 0.250, 0.073], [0.952, 0.250, 0.626]]
}

---

Record 7
{
  "formula": "KHfAuSeS2",
  "functional": "GGA-PBE",
  "state": "relaxed",
  "final_energy_ev_per_cell": -64.792,
  "rho_g_cm3": 6.31,
  "cell": [[1.911, -7.474, 0.000], [1.911, 7.474, 0.000], [0.000, 0.000, 10.268]],
  "species": ["K", "K", "Hf", "Hf", "Au", "Au", "Se", "Se", "S", "S", "S", "S"],
  "frac_coords": [[0.245, 0.755, 0.750], [0.755, 0.245, 0.250], [0.000, 0.000, 0.000], [0.000, 0.000, 0.500], [0.445, 0.555, 0.250], [0.555, 0.445, 0.750], [0.074, 0.926, 0.250], [0.926, 0.074, 0.750], [0.384, 0.616, 0.032], [0.384, 0.616, 0.468], [0.616, 0.384, 0.532], [0.616, 0.384, 0.968]]
}

---

Record 8
{
  "formula": "KHfTe2AuS",
  "functional": "GGA-PBE",
  "state": "relaxed",
  "final_energy_ev_per_cell": -59.077,
  "rho_g_cm3": 6.61,
  "cell": [[2.076, -8.404, 0.000], [2.076, 8.404, 0.000], [0.000, 0.000, 10.102]],
  "species": ["K", "K", "Hf", "Hf", "Te", "Te", "Te", "Te", "Au", "Au", "S", "S"],
  "frac_coords": [[0.231, 0.769, 0.750], [0.769, 0.231, 0.250], [0.000, 0.000, 0.000], [0.000, 0.000, 0.500], [0.374, 0.626, 0.008], [0.374, 0.626, 0.492], [0.626, 0.374, 0.508], [0.626, 0.374, 0.992], [0.444, 0.556, 0.250], [0.556, 0.444, 0.750], [0.035, 0.965, 0.250], [0.965, 0.035, 0.750]]
}

---

Record 9
{
  "formula": "KHfAu3Se4",
  "functional": "GGA-PBE",
  "state": "relaxed",
  "final_energy_ev_per_cell": -40.542,
  "rho_g_cm3": 6.97,
  "cell": [[6.448, 0.000, 0.000], [0.000, 6.448, 0.000], [0.000, 0.000, 6.448]],
  "species": ["K", "Hf", "Au", "Au", "Au", "Se", "Se", "Se", "Se"],
  "frac_coords": [[0.000, 0.000, 0.000], [0.500, 0.500, 0.500], [0.000, 0.500, 0.500], [0.500, 0.000, 0.500], [0.500, 0.500, 0.000], [0.273, 0.273, 0.273], [0.273, 0.727, 0.727], [0.727, 0.273, 0.727], [0.727, 0.727, 0.273]]
}

---

Record 10
{
  "formula": "KHfAuSe3",
  "functional": "GGA-PBE",
  "state": "relaxed",
  "final_energy_ev_per_cell": -119.962,
  "rho_g_cm3": 6.50,
  "cell": [[12.587, 0.000, 0.000], [0.000, 4.118, 0.000], [0.000, 0.000, 12.838]],
  "species": ["K", "K", "K", "K", "Hf", "Hf", "Hf", "Hf", "Au", "Au", "Au", "Au", "Se", "Se", "Se", "Se", "Se", "Se", "Se", "Se", "Se", "Se", "Se", "Se"],
  "frac_coords": [[0.181, 0.250, 0.050], [0.319, 0.750, 0.550], [0.681, 0.250, 0.450], [0.819, 0.750, 0.950], [0.043, 0.250, 0.349], [0.457, 0.750, 0.849], [0.543, 0.250, 0.151], [0.957, 0.750, 0.651], [0.198, 0.750, 0.267], [0.302, 0.250, 0.767], [0.698, 0.750, 0.233], [0.802, 0.250, 0.733], [0.011, 0.750, 0.196], [0.074, 0.250, 0.567], [0.242, 0.750, 0.863], [0.258, 0.250, 0.363], [0.426, 0.750, 0.067], [0.489, 0.250, 0.696], [0.511, 0.750, 0.304], [0.574, 0.250, 0.933], [0.742, 0.750, 0.637], [0.758, 0.250, 0.137], [0.926, 0.750, 0.433], [0.989, 0.250, 0.804]]
}

---

Record 11
{
  "formula": "KHfAuSe3",
  "functional": "GGA-PBE",
  "state": "relaxed",
  "final_energy_ev_per_cell": -61.401,
  "rho_g_cm3": 6.97,
  "cell": [[1.973, -7.550, 0.000], [1.973, 7.550, 0.000], [0.000, 0.000, 10.423]],
  "species": ["K", "K", "Hf", "Hf", "Au", "Au", "Se", "Se", "Se", "Se", "Se", "Se"],
  "frac_coords": [[0.245, 0.755, 0.750], [0.755, 0.245, 0.250], [0.000, 0.000, 0.000], [0.000, 0.000, 0.500], [0.451, 0.549, 0.250], [0.549, 0.451, 0.750], [0.070, 0.930, 0.250], [0.376, 0.624, 0.031], [0.376, 0.624, 0.469], [0.624, 0.376, 0.531], [0.624, 0.376, 0.969], [0.930, 0.070, 0.750]]
}

---

Record 12
{
  "formula": "KHfTe2AuSe",
  "functional": "GGA-PBE",
  "state": "relaxed",
  "final_energy_ev_per_cell": -57.556,
  "rho_g_cm3": 7.12,
  "cell": [[2.069, -7.938, 0.000], [2.069, 7.938, 0.000], [0.000, 0.000, 10.640]],
  "species": ["K", "K", "Hf", "Hf", "Te", "Te", "Te", "Te", "Au", "Au", "Se", "Se"],
  "frac_coords": [[0.247, 0.753, 0.750], [0.753, 0.247, 0.250], [0.000, 0.000, 0.000], [0.000, 0.000, 0.500], [0.370, 0.630, 0.028], [0.370, 0.630, 0.472], [0.630, 0.370, 0.528], [0.630, 0.370, 0.972], [0.453, 0.547, 0.250], [0.547, 0.453, 0.750], [0.059, 0.941, 0.250], [0.941, 0.059, 0.750]]
}

---

Record 13
{
  "formula": "LiHf2Au",
  "functional": "GGA-PBE",
  "state": "relaxed",
  "final_energy_ev_per_cell": -24.627,
  "rho_g_cm3": 12.34,
  "cell": [[0.000, 3.354, 3.354], [3.354, 0.000, 3.354], [3.354, 3.354, 0.000]],
  "species": ["Li", "Hf", "Hf", "Au"],
  "frac_coords": [[0.000, 0.000, 0.000], [0.500, 0.500, 0.500], [0.750, 0.750, 0.750], [0.250, 0.250, 0.250]]
}

---

Record 14
{
  "formula": "Li2HfAu",
  "functional": "GGA-PBE",
  "state": "relaxed",
  "final_energy_ev_per_cell": -17.805,
  "rho_g_cm3": 9.73,
  "cell": [[0.000, 3.215, 3.215], [3.215, 0.000, 3.215], [3.215, 3.215, 0.000]],
  "species": ["Li", "Li", "Hf", "Au"],
  "frac_coords": [[0.000, 0.000, 0.000], [0.250, 0.250, 0.250], [0.500, 0.500, 0.500], [0.750, 0.750, 0.750]]
}

---

Record 15
{
  "formula": "Li2HfAu",
  "functional": "GGA-PBE",
  "state": "relaxed",
  "final_energy_ev_per_cell": -17.805,
  "rho_g_cm3": 9.73,
  "cell": [[0.000, 3.215, 3.215], [3.215, 0.000, 3.215], [3.215, 3.215, 0.000]],
  "species": ["Li", "Li", "Hf", "Au"],
  "frac_coords": [[0.000, 0.000, 0.000], [0.250, 0.250, 0.250], [0.750, 0.750, 0.750], [0.500, 0.500, 0.500]]
}

---

Record 16
{
  "formula": "LiHfAuO3",
  "functional": "GGA-PBE",
  "state": "relaxed",
  "final_energy_ev_per_cell": -173.202,
  "rho_g_cm3": 9.35,
  "cell": [[11.023, 0.000, 0.000], [0.000, 3.158, 0.000], [0.000, 0.000, 8.786]],
  "species": ["Li", "Li", "Li", "Li", "Hf", "Hf", "Hf", "Hf", "Au", "Au", "Au", "Au", "O", "O", "O", "O", "O", "O", "O", "O", "O", "O", "O", "O"],
  "frac_coords": [[0.220, 0.250, 0.156], [0.280, 0.750, 0.656], [0.720, 0.250, 0.344], [0.780, 0.750, 0.844], [0.043, 0.250, 0.839], [0.457, 0.750, 0.339], [0.543, 0.250, 0.661], [0.957, 0.750, 0.161], [0.116, 0.250, 0.475], [0.384, 0.750, 0.975], [0.616, 0.250, 0.025], [0.884, 0.750, 0.525], [0.060, 0.250, 0.251], [0.099, 0.750, 0.977], [0.182, 0.250, 0.695], [0.318, 0.750, 0.195], [0.401, 0.250, 0.477], [0.440, 0.750, 0.751], [0.560, 0.250, 0.249], [0.599, 0.750, 0.523], [0.682, 0.250, 0.805], [0.818, 0.750, 0.305], [0.901, 0.250, 0.023], [0.940, 0.750, 0.749]]
}

---

Record 17
{
  "formula": "LiHfAu3O4",
  "functional": "GGA-PBE",
  "state": "relaxed",
  "final_energy_ev_per_cell": -47.929,
  "rho_g_cm3": 8.00,
  "cell": [[5.587, 0.000, 0.000], [0.000, 5.587, 0.000], [0.000, 0.000, 5.587]],
  "species": ["Li", "Hf", "Au", "Au", "Au", "O", "O", "O", "O"],
  "frac_coords": [[0.000, 0.000, 0.000], [0.500, 0.500, 0.500], [0.000, 0.500, 0.500], [0.500, 0.000, 0.500], [0.500, 0.500, 0.000], [0.288, 0.288, 0.288], [0.288, 0.712, 0.712], [0.712, 0.288, 0.712], [0.712, 0.712, 0.288]]
}

---

Record 18
{
  "formula": "LiHfPbAu",
  "functional": "GGA-PBE",
  "state": "relaxed",
  "rho_g_cm3": 12.06,
  "polymorph_energy_mev_per_atom": 393,
  "cell": [[0.000, 3.436, 3.436], [3.436, 0.000, 3.436], [3.436, 3.436, 0.000]],
  "species": ["Li", "Hf", "Pb", "Au"],
  "frac_coords": [[0.000, 0.000, 0.000], [0.250, 0.250, 0.250], [0.500, 0.500, 0.500], [0.750, 0.750, 0.750]]
}

---

Record 19
{
  "formula": "LiHfPbAu",
  "functional": "GGA-PBE",
  "state": "relaxed",
  "rho_g_cm3": 12.12,
  "polymorph_energy_mev_per_atom": 0,
  "cell": [[0.000, 3.431, 3.431], [3.431, 0.000, 3.431], [3.431, 3.431, 0.000]],
  "species": ["Li", "Hf", "Pb", "Au"],
  "frac_coords": [[0.000, 0.000, 0.000], [0.500, 0.500, 0.500], [0.250, 0.250, 0.250], [0.750, 0.750, 0.750]]
}

---

Record 20
{
  "formula": "LiHfPbAu",
  "functional": "GGA-PBE",
  "state": "relaxed",
  "rho_g_cm3": 12.05,
  "polymorph_energy_mev_per_atom": 287,
  "cell": [[0.000, 3.437, 3.437], [3.437, 0.000, 3.437], [3.437, 3.437, 0.000]],
  "species": ["Li", "Hf", "Pb", "Au"],
  "frac_coords": [[0.000, 0.000, 0.000], [0.750, 0.750, 0.750], [0.250, 0.250, 0.250], [0.500, 0.500, 0.500]]
}